First-principles (PBE-GGA) data for a relaxed UTiP crystal, as listed in Alexandria.

- crystal system = tetragonal
- spin magnetization (μB/atom) = 0.20
- final energy (eV/atom) = -8.58

Cell lengths 8.299, 8.299, 3.489 Å; angles 90.00, 90.00, 90.00 degrees
Element x y z (fractional)
U 0.047 0.817 0.000
U 0.183 0.047 0.500
U 0.817 0.953 0.500
U 0.953 0.183 0.000
Ti 0.158 0.469 0.500
Ti 0.469 0.842 0.000
Ti 0.531 0.158 0.000
Ti 0.842 0.531 0.500
P 0.271 0.297 0.000
P 0.297 0.729 0.500
P 0.703 0.271 0.500
P 0.729 0.703 0.000

First-principles (PBE-GGA) data for a relaxed BeAsSeBr2 crystal, as listed in Alexandria.

- crystal system = tetragonal
- formation energy from raw total energies (eV/atom) = 0.62
- spin magnetization (μB/atom) = 0.00
- final energy (eV/atom) = -2.42
- distance to the lowest polymorph of the same formula (kJ/mol of formula units) = 198.9

Cell lengths 5.205, 5.205, 5.217 Å; angles 90.00, 90.00, 90.00 degrees
Element x y z (fractional)
Be 0.000 0.000 0.000
As 0.500 0.500 0.500
Se 0.500 0.500 0.000
Br 0.000 0.500 0.500
Br 0.500 0.000 0.500

First-principles (PBE-GGA) data for a relaxed NdSm5Dy5 crystal, as listed in Alexandria.

- crystal system = hexagonal
- spin magnetization (μB/atom) = 0.00
- final energy (eV/atom) = -4.35
- distance to the lowest polymorph of the same formula (kJ/mol of formula units) = 25.3

Cell lengths 6.147, 6.147, 11.505 Å; angles 90.00, 90.00, 120.00 degrees
Element x y z (fractional)
Nd 0.000 0.000 0.000
Sm 0.006 0.503 0.500
Sm 0.497 0.503 0.500
Sm 0.497 0.994 0.500
Sm 0.667 0.333 0.264
Sm 0.667 0.333 0.736
Dy 0.000 0.000 0.327
Dy 0.000 0.000 0.673
Dy 0.333 0.667 0.160
Dy 0.333 0.667 0.840
Dy 0.667 0.333 0.000

First-principles (PBE-GGA) data for a relaxed NpUFeRu crystal, as listed in Alexandria.

- crystal system = cubic
- spin magnetization (μB/atom) = 0.36
- final energy (eV/atom) = -10.66

Cell lengths 4.516, 4.516, 4.516 Å; angles 60.00, 60.00, 60.00 degrees
Element x y z (fractional)
Np 0.000 0.000 0.000
U 0.250 0.250 0.250
Fe 0.750 0.750 0.750
Ru 0.500 0.500 0.500